# GGA-PBE Pm3Co2B2N3, relaxed
# electronic total energy	-7.76	eV/atom
# crystal system	tetragonal
# size of the total moment	0.000	μB per formula unit
data_Pm3Co2B2N3
_symmetry_space_group_name_H-M 'I 4/m m m'
_symmetry_Int_Tables_number 139
_symmetry_space_group_name_Hall '-I 4 2'
_cell_length_a 3.610
_cell_length_b 3.610
_cell_length_c 20.002
_cell_angle_alpha 90.00
_cell_angle_beta 90.00
_cell_angle_gamma 90.00
loop_
_atom_site_label
_atom_site_fract_x
_atom_site_fract_y
_atom_site_fract_z
Pm1 0.000 0.000 0.000
Pm2 0.000 0.000 0.372
Co1 0.000 0.500 0.250
B1 0.000 0.000 0.198
N1 0.000 0.000 0.123
N2 0.000 0.000 0.500